Compound: Rb3Ce3CdSe8
Source: the Alexandria database
Functional: PBE-GGA
Structure: optimized geometry

CIF file:
```
data_Rb3Ce3CdSe8
_cell_length_a 8.5386
_cell_length_b 8.5386
_cell_length_c 24.2238
_cell_angle_alpha 90.00
_cell_angle_beta 90.00
_cell_angle_gamma 120.00
_space_group_name_H-M_alt 'R -3 m'
_space_group_IT_number 166
_space_group_name_Hall '-R 3 2"'
loop_
_atom_site_label
_atom_site_fract_x
_atom_site_fract_y
_atom_site_fract_z
Rb1 0.0000 0.5000 0.0000
Ce1 0.0000 0.5000 0.5000
Cd1 0.0000 0.0000 0.5000
Se1 0.0000 0.0000 0.2327
Se2 0.0043 0.5022 0.7694
```

Calculated values
energy relative to the elements, uncorrected: -1.44 eV/atom
volume: 33.98 Å³/atom
theoretical density: 4.6 g/cm3


Compound: Rb3Ce2CdTe6
Source: the Alexandria database
Functional: PBE-GGA
Structure: optimized geometry

CIF file:
```
data_Rb3Ce2CdTe6
_cell_length_a 7.978
_cell_length_b 13.809
_cell_length_c 8.924
_cell_angle_alpha 90.00
_cell_angle_beta 107.34
_cell_angle_gamma 90.00
_space_group_name_H-M_alt 'C 1 2/m 1'
_space_group_IT_number 12
_space_group_name_Hall '-C 2y'
loop_
_atom_site_label
_atom_site_fract_x
_atom_site_fract_y
_atom_site_fract_z
Rb1 0.000 0.000 0.000
Rb2 0.000 0.334 0.000
Ce1 0.000 0.167 0.500
Cd1 0.000 0.500 0.500
Te1 0.232 0.334 0.699
Te2 0.234 0.000 0.700
```

Calculated values
energy relative to the elements, uncorrected: -1.09 eV/atom
volume: 39.11 Å³/atom
theoretical density: 5.0 g/cm3


Compound: Ce4CdRe
Source: the Alexandria database
Functional: PBE-GGA
Structure: optimized geometry

CIF file:
```
data_Ce4CdRe
_cell_length_a 8.717
_cell_length_b 12.337
_cell_length_c 5.937
_cell_angle_alpha 90.00
_cell_angle_beta 106.78
_cell_angle_gamma 90.00
_space_group_name_H-M_alt 'C 1 2/c 1'
_space_group_IT_number 15
_space_group_name_Hall '-C 2yc'
loop_
_atom_site_label
_atom_site_fract_x
_atom_site_fract_y
_atom_site_fract_z
Ce1 0.123 0.188 0.074
Ce2 0.232 0.398 0.352
Cd1 0.000 0.396 0.750
Re1 0.000 0.004 0.750
```

Calculated values
volume: 25.47 Å³/atom
theoretical density: 9.3 g/cm3
energy: -0.2288 Ha/atom


Compound: Ce4CdRh12
Source: the Alexandria database
Functional: PBE-GGA
Structure: optimized geometry

CIF file:
```
data_Ce4CdRh12
_cell_length_a 8.453
_cell_length_b 8.453
_cell_length_c 8.453
_cell_angle_alpha 90.00
_cell_angle_beta 90.00
_cell_angle_gamma 90.00
_space_group_name_H-M_alt 'I m -3 m'
_space_group_IT_number 229
_space_group_name_Hall '-I 4 2 3'
loop_
_atom_site_label
_atom_site_fract_x
_atom_site_fract_y
_atom_site_fract_z
Ce1 0.250 0.250 0.250
Cd1 0.000 0.000 0.000
Rh1 0.000 0.000 0.306
Rh2 0.000 0.250 0.500
```

Calculated values
volume: 17.76 Å³/atom
theoretical density: 10.5 g/cm3
energy: -0.2616 Ha/atom


Compound: CeCd5Rh6
Source: the Alexandria database
Functional: PBE-GGA
Structure: optimized geometry

CIF file:
```
data_CeCd5Rh6
_cell_length_a 4.624
_cell_length_b 13.762
_cell_length_c 6.545
_cell_angle_alpha 90.00
_cell_angle_beta 90.00
_cell_angle_gamma 90.00
_space_group_name_H-M_alt 'C m m m'
_space_group_IT_number 65
_space_group_name_Hall '-C 2 2'
loop_
_atom_site_label
_atom_site_fract_x
_atom_site_fract_y
_atom_site_fract_z
Ce1 0.000 0.000 0.000
Cd1 0.000 0.000 0.500
Cd2 0.000 0.329 0.000
Cd3 0.000 0.333 0.500
Rh1 0.000 0.164 0.249
Rh2 0.000 0.500 0.248
```

Calculated values
volume: 17.35 Å³/atom
theoretical density: 10.5 g/cm3
energy: -0.1782 Ha/atom


Compound: Ce5CdRh6
Source: the Alexandria database
Functional: PBE-GGA
Structure: optimized geometry

CIF file:
```
data_Ce5CdRh6
_cell_length_a 5.111
_cell_length_b 13.948
_cell_length_c 7.000
_cell_angle_alpha 90.00
_cell_angle_beta 96.90
_cell_angle_gamma 90.00
_space_group_name_H-M_alt 'C 1 2/m 1'
_space_group_IT_number 12
_space_group_name_Hall '-C 2y'
loop_
_atom_site_label
_atom_site_fract_x
_atom_site_fract_y
_atom_site_fract_z
Ce1 0.000 0.000 0.000
Ce2 0.000 0.329 0.000
Ce3 0.000 0.350 0.500
Cd1 0.000 0.000 0.500
Rh1 0.027 0.178 0.728
Rh2 0.067 0.500 0.215
```

Calculated values
volume: 20.64 Å³/atom
theoretical density: 9.6 g/cm3
energy: -0.2527 Ha/atom


Compound: Ce2CdRh
Source: the Alexandria database
Functional: PBE-GGA
Structure: optimized geometry

CIF file:
```
data_Ce2CdRh
_cell_length_a 3.730
_cell_length_b 3.730
_cell_length_c 6.872
_cell_angle_alpha 90.00
_cell_angle_beta 90.00
_cell_angle_gamma 90.00
_space_group_name_H-M_alt 'P 4/m m m'
_space_group_IT_number 123
_space_group_name_Hall '-P 4 2'
loop_
_atom_site_label
_atom_site_fract_x
_atom_site_fract_y
_atom_site_fract_z
Ce1 0.000 0.000 0.206
Cd1 0.500 0.500 0.500
Rh1 0.500 0.500 0.000
```

Calculated values
ΔE to the lowest computed polymorph: 0 meV per atom
volume: 23.90 Å³/atom
theoretical density: 8.6 g/cm3


Compound: Ce3CdRh6
Source: the Alexandria database
Functional: PBE-GGA
Structure: optimized geometry

CIF file:
```
data_Ce3CdRh6
_cell_length_a 8.198
_cell_length_b 4.782
_cell_length_c 10.156
_cell_angle_alpha 90.00
_cell_angle_beta 111.79
_cell_angle_gamma 90.00
_space_group_name_H-M_alt 'P 1 21/m 1'
_space_group_IT_number 11
_space_group_name_Hall '-P 2yb'
loop_
_atom_site_label
_atom_site_fract_x
_atom_site_fract_y
_atom_site_fract_z
Ce1 0.044 0.250 0.209
Ce2 0.320 0.250 0.023
Ce3 0.356 0.750 0.372
Cd1 0.118 0.750 0.558
Rh1 0.108 0.250 0.730
Rh2 0.120 0.750 0.086
Rh3 0.277 0.250 0.506
Rh4 0.308 0.750 0.859
Rh5 0.486 0.250 0.825
Rh6 0.494 0.750 0.671
```

Calculated values
volume: 18.48 Å³/atom
theoretical density: 10.3 g/cm3
energy: -0.2521 Ha/atom


Compound: Ce6Cd3Rh
Source: the Alexandria database
Functional: PBE-GGA
Structure: optimized geometry

CIF file:
```
data_Ce6Cd3Rh
_cell_length_a 9.139
_cell_length_b 7.048
_cell_length_c 8.380
_cell_angle_alpha 90.00
_cell_angle_beta 100.37
_cell_angle_gamma 90.00
_space_group_name_H-M_alt 'C 1 2/m 1'
_space_group_IT_number 12
_space_group_name_Hall '-C 2y'
loop_
_atom_site_label
_atom_site_fract_x
_atom_site_fract_y
_atom_site_fract_z
Ce1 0.119 0.000 0.380
Ce2 0.128 0.305 0.873
Cd1 0.000 0.500 0.500
Cd2 0.188 0.500 0.265
Rh1 0.000 0.000 0.000
```

Calculated values
volume: 26.55 Å³/atom
theoretical density: 8.0 g/cm3
energy: -0.1720 Ha/atom


Compound: CeCd3Rh
Source: the Alexandria database
Functional: PBE-GGA
Structure: optimized geometry

CIF file:
```
data_CeCd3Rh
_cell_length_a 5.298
_cell_length_b 5.897
_cell_length_c 7.536
_cell_angle_alpha 90.00
_cell_angle_beta 108.54
_cell_angle_gamma 90.00
_space_group_name_H-M_alt 'P 1 21/m 1'
_space_group_IT_number 11
_space_group_name_Hall '-P 2yb'
loop_
_atom_site_label
_atom_site_fract_x
_atom_site_fract_y
_atom_site_fract_z
Ce1 0.106 0.250 0.412
Cd1 0.053 0.250 0.892
Cd2 0.476 0.504 0.191
Rh1 0.302 0.750 0.481
```

Calculated values
volume: 22.32 Å³/atom
theoretical density: 8.6 g/cm3
energy: -0.1317 Ha/atom


Compound: Ce2CdRh
Source: the Alexandria database
Functional: PBE-GGA
Structure: optimized geometry

CIF file:
```
data_Ce2CdRh
_cell_length_a 3.9699
_cell_length_b 3.9699
_cell_length_c 24.4901
_cell_angle_alpha 90.00
_cell_angle_beta 90.00
_cell_angle_gamma 120.00
_space_group_name_H-M_alt 'R 3 m'
_space_group_IT_number 160
_space_group_name_Hall 'R 3 -2"'
loop_
_atom_site_label
_atom_site_fract_x
_atom_site_fract_y
_atom_site_fract_z
Ce1 0.0000 0.0000 0.0000
Ce2 0.0000 0.0000 0.2010
Cd1 0.0000 0.0000 0.4329
Rh1 0.0000 0.0000 0.6013
```

Calculated values
ΔE to the lowest computed polymorph: 86 meV per atom
volume: 27.85 Å³/atom
theoretical density: 7.4 g/cm3


Compound: Ce2CdRh
Source: the Alexandria database
Functional: PBE-GGA
Structure: optimized geometry

CIF file:
```
data_Ce2CdRh
_cell_length_a 7.287
_cell_length_b 7.287
_cell_length_c 7.287
_cell_angle_alpha 90.00
_cell_angle_beta 90.00
_cell_angle_gamma 90.00
_space_group_name_H-M_alt 'F m -3 m'
_space_group_IT_number 225
_space_group_name_Hall '-F 4 2 3'
loop_
_atom_site_label
_atom_site_fract_x
_atom_site_fract_y
_atom_site_fract_z
Ce1 0.250 0.250 0.250
Cd1 0.000 0.000 0.000
Rh1 0.000 0.000 0.500
```

Calculated values
ΔE to the lowest computed polymorph: 134 meV per atom
volume: 24.19 Å³/atom
theoretical density: 8.5 g/cm3


Compound: Ce2CdRh
Source: the Alexandria database
Functional: PBE-GGA
Structure: optimized geometry

CIF file:
```
data_Ce2CdRh
_cell_length_a 3.8158
_cell_length_b 3.8158
_cell_length_c 30.3704
_cell_angle_alpha 90.00
_cell_angle_beta 90.00
_cell_angle_gamma 120.00
_space_group_name_H-M_alt 'R -3 m'
_space_group_IT_number 166
_space_group_name_Hall '-R 3 2"'
loop_
_atom_site_label
_atom_site_fract_x
_atom_site_fract_y
_atom_site_fract_z
Ce1 0.0000 0.0000 0.1110
Cd1 0.0000 0.0000 0.0000
Rh1 0.0000 0.0000 0.5000
```

Calculated values
ΔE to the lowest computed polymorph: 334 meV per atom
volume: 31.91 Å³/atom
theoretical density: 6.4 g/cm3


Compound: Ce2Cd2Rh3
Source: the Alexandria database
Functional: PBE-GGA
Structure: optimized geometry

CIF file:
```
data_Ce2Cd2Rh3
_cell_length_a 8.233
_cell_length_b 4.838
_cell_length_c 7.876
_cell_angle_alpha 90.00
_cell_angle_beta 111.05
_cell_angle_gamma 90.00
_space_group_name_H-M_alt 'C 1 2/m 1'
_space_group_IT_number 12
_space_group_name_Hall '-C 2y'
loop_
_atom_site_label
_atom_site_fract_x
_atom_site_fract_y
_atom_site_fract_z
Ce1 0.111 0.000 0.340
Cd1 0.137 0.500 0.902
Rh1 0.000 0.500 0.500
Rh2 0.246 0.000 0.721
```

Calculated values
ΔE to the lowest computed polymorph: 0 meV per atom
volume: 20.91 Å³/atom
theoretical density: 9.2 g/cm3


Compound: Ce3CdRh8
Source: the Alexandria database
Functional: PBE-GGA
Structure: optimized geometry

CIF file:
```
data_Ce3CdRh8
_cell_length_a 5.3268
_cell_length_b 5.3268
_cell_length_c 26.1834
_cell_angle_alpha 90.00
_cell_angle_beta 90.00
_cell_angle_gamma 120.00
_space_group_name_H-M_alt 'R 3 m'
_space_group_IT_number 160
_space_group_name_Hall 'R 3 -2"'
loop_
_atom_site_label
_atom_site_fract_x
_atom_site_fract_y
_atom_site_fract_z
Ce1 0.0000 0.0000 0.0000
Ce2 0.0000 0.0000 0.1274
Ce3 0.0000 0.0000 0.6193
Cd1 0.0000 0.0000 0.4968
Rh1 0.0000 0.0000 0.3116
Rh2 0.0000 0.0000 0.8117
Rh3 0.0000 0.5000 0.0614
Rh4 0.0015 0.5007 0.5615
```

Calculated values
volume: 17.87 Å³/atom
theoretical density: 10.5 g/cm3
energy: -0.2586 Ha/atom


Compound: Ce3Cd5Rh2
Source: the Alexandria database
Functional: PBE-GGA
Structure: optimized geometry

CIF file:
```
data_Ce3Cd5Rh2
_cell_length_a 12.048
_cell_length_b 12.507
_cell_length_c 6.425
_cell_angle_alpha 90.00
_cell_angle_beta 90.00
_cell_angle_gamma 90.00
_space_group_name_H-M_alt 'I b a m'
_space_group_IT_number 72
_space_group_name_Hall '-I 2 2c'
loop_
_atom_site_label
_atom_site_fract_x
_atom_site_fract_y
_atom_site_fract_z
Ce1 0.000 0.000 0.250
Ce2 0.250 0.142 0.000
Cd1 0.000 0.263 0.250
Cd2 0.000 0.500 0.250
Cd3 0.159 0.392 0.000
Rh1 0.121 0.119 0.500
```

Calculated values
volume: 24.20 Å³/atom
theoretical density: 8.2 g/cm3
energy: -0.1465 Ha/atom


Compound: Ce2Cd2Rh3
Source: the Alexandria database
Functional: PBE-GGA
Structure: optimized geometry

CIF file:
```
data_Ce2Cd2Rh3
_cell_length_a 14.643
_cell_length_b 3.933
_cell_length_c 5.526
_cell_angle_alpha 90.00
_cell_angle_beta 97.55
_cell_angle_gamma 90.00
_space_group_name_H-M_alt 'C 1 2/m 1'
_space_group_IT_number 12
_space_group_name_Hall '-C 2y'
loop_
_atom_site_label
_atom_site_fract_x
_atom_site_fract_y
_atom_site_fract_z
Ce1 0.097 0.000 0.297
Cd1 0.162 0.500 0.825
Rh1 0.000 0.500 0.500
Rh2 0.215 0.500 0.328
```

Calculated values
ΔE to the lowest computed polymorph: 87 meV per atom
volume: 22.53 Å³/atom
theoretical density: 8.6 g/cm3


Compound: Ce2CdRh
Source: the Alexandria database
Functional: PBE-GGA
Structure: optimized geometry

CIF file:
```
data_Ce2CdRh
_cell_length_a 3.9261
_cell_length_b 3.9261
_cell_length_c 24.8111
_cell_angle_alpha 90.00
_cell_angle_beta 90.00
_cell_angle_gamma 120.00
_space_group_name_H-M_alt 'R -3 m'
_space_group_IT_number 166
_space_group_name_Hall '-R 3 2"'
loop_
_atom_site_label
_atom_site_fract_x
_atom_site_fract_y
_atom_site_fract_z
Ce1 0.0000 0.0000 0.2332
Cd1 0.0000 0.0000 0.0000
Rh1 0.0000 0.0000 0.5000
```

Calculated values
ΔE to the lowest computed polymorph: 67 meV per atom
volume: 27.60 Å³/atom
theoretical density: 7.5 g/cm3


Compound: Ce2CdRh
Source: the Alexandria database
Functional: PBE-GGA
Structure: optimized geometry

CIF file:
```
data_Ce2CdRh
_cell_length_a 4.534
_cell_length_b 4.534
_cell_length_c 4.380
_cell_angle_alpha 90.00
_cell_angle_beta 90.00
_cell_angle_gamma 90.00
_space_group_name_H-M_alt 'P 4/m m m'
_space_group_IT_number 123
_space_group_name_Hall '-P 4 2'
loop_
_atom_site_label
_atom_site_fract_x
_atom_site_fract_y
_atom_site_fract_z
Ce1 0.000 0.500 0.000
Cd1 0.000 0.000 0.500
Rh1 0.500 0.500 0.500
```

Calculated values
ΔE to the lowest computed polymorph: 128 meV per atom
volume: 22.51 Å³/atom
theoretical density: 9.1 g/cm3


Compound: Ce3CdRh3
Source: the Alexandria database
Functional: PBE-GGA
Structure: optimized geometry

CIF file:
```
data_Ce3CdRh3
_cell_length_a 8.422
_cell_length_b 10.573
_cell_length_c 7.021
_cell_angle_alpha 90.00
_cell_angle_beta 90.14
_cell_angle_gamma 90.00
_space_group_name_H-M_alt 'C 1 2/m 1'
_space_group_IT_number 12
_space_group_name_Hall '-C 2y'
loop_
_atom_site_label
_atom_site_fract_x
_atom_site_fract_y
_atom_site_fract_z
Ce1 0.000 0.171 0.000
Ce2 0.000 0.241 0.500
Ce3 0.125 0.500 0.134
Cd1 0.238 0.500 0.642
Rh1 0.076 0.000 0.704
Rh2 0.221 0.253 0.774
```

Calculated values
volume: 22.33 Å³/atom
theoretical density: 8.9 g/cm3
energy: -0.2348 Ha/atom


Compound: Ce2CdRh4
Source: the Alexandria database
Functional: PBE-GGA
Structure: optimized geometry

CIF file:
```
data_Ce2CdRh4
_cell_length_a 4.009
_cell_length_b 4.009
_cell_length_c 18.389
_cell_angle_alpha 90.00
_cell_angle_beta 90.00
_cell_angle_gamma 90.00
_space_group_name_H-M_alt 'I 4/m m m'
_space_group_IT_number 139
_space_group_name_Hall '-I 4 2'
loop_
_atom_site_label
_atom_site_fract_x
_atom_site_fract_y
_atom_site_fract_z
Ce1 0.000 0.000 0.133
Cd1 0.000 0.000 0.500
Rh1 0.000 0.000 0.355
Rh2 0.000 0.500 0.250
```

Calculated values
volume: 21.11 Å³/atom
theoretical density: 9.0 g/cm3
energy: -0.2414 Ha/atom


Compound: Ce2Cd3Rh4
Source: the Alexandria database
Functional: PBE-GGA
Structure: optimized geometry

CIF file:
```
data_Ce2Cd3Rh4
_cell_length_a 8.305
_cell_length_b 4.598
_cell_length_c 9.069
_cell_angle_alpha 90.00
_cell_angle_beta 90.30
_cell_angle_gamma 90.00
_space_group_name_H-M_alt 'C 1 2/m 1'
_space_group_IT_number 12
_space_group_name_Hall '-C 2y'
loop_
_atom_site_label
_atom_site_fract_x
_atom_site_fract_y
_atom_site_fract_z
Ce1 0.169 0.000 0.213
Cd1 0.000 0.500 0.000
Cd2 0.159 0.000 0.568
Rh1 0.017 0.500 0.327
Rh2 0.173 0.000 0.886
```

Calculated values
volume: 19.24 Å³/atom
theoretical density: 9.9 g/cm3
energy: -0.1963 Ha/atom